Entry from Alexandria via LeMat-Bulk: a relaxed structure of AgGePd2 (PBE-GGA).

The structure in CIF format:
```
data_AgGePd2
_chemical_formula_sum 'Ag1 Ge1 Pd2'
_space_group_name_H-M_alt 'P 4/m m m'
_space_group_IT_number 123
_space_group_name_Hall '-P 4 2'
_cell_length_a 3.044
_cell_length_b 3.044
_cell_length_c 6.927
_cell_angle_alpha 90.00
_cell_angle_beta 90.00
_cell_angle_gamma 90.00
loop_
_atom_site_label
_atom_site_fract_x
_atom_site_fract_y
_atom_site_fract_z
_atom_site_occupancy
Ag1 0.000 0.000 0.000 1
Ge1 0.000 0.000 0.500 1
Pd1 0.500 0.500 0.282 1
```

Values from the calculation:
E_form = -0.267 eV/atom
V = 16.04 A^3/atom